Model i:
ThTiCo | GGA-PBE | optimized geometry

Values from the calculation:
- M_tot (μB per formula unit) = 0.00
- calculated density (Mg/m³) = 9.5
- SG = No. 11

a = 4.3065 Å, b = 4.2905 Å, c = 6.4253 Å
α = 90.00°, β = 92.87°, γ = 90.00°
Closest atoms and distances in Å follow each position.
Sites, in units of the cell vectors:
Th 0.2460 0.2500 0.1270  1 Co 2.78
Th 0.7540 0.7500 0.8730  1 Co 2.78
Ti 0.2436 0.7500 0.4998  4 Co 2.47-2.51
Ti 0.7564 0.2500 0.5002  4 Co 2.47-2.51
Co 0.2764 0.2500 0.6960  4 Ti 2.47-2.51
Co 0.7236 0.7500 0.3040  4 Ti 2.47-2.51

Model ii:
ThTiCo | GGA-PBE | optimized geometry

Values from the calculation:
- M_tot (μB per formula unit) = 0.00
- calculated density (Mg/m³) = 9.0
- SG = No. 156

a = 4.0467 Å, b = 4.0467 Å, c = 4.3858 Å
α = 90.00°, β = 90.00°, γ = 120.00°
Closest atoms and distances in Å follow each position.
Sites, in units of the cell vectors:
Th 0.0000 0.0000 0.0000  3 Co 3.00, 6 Ti 3.19-3.22
Ti 0.6667 0.3333 0.4962  3 Co 2.36
Co 0.3333 0.6667 0.5695  3 Ti 2.36

Most stable: model i. Least stable: model ii.

Model i:
Th2TlCo | GGA-PBE | optimized geometry

Values from the calculation:
- M_tot (μB per formula unit) = 0.00
- calculated density (Mg/m³) = 10.8
- SG = No. 12

a = 3.9168 Å, b = 3.9168 Å, c = 8.7128 Å
α = 102.75°, β = 102.75°, γ = 59.74°
Closest atoms and distances in Å follow each position.
Sites, in units of the cell vectors:
Th 0.2276 0.2276 0.1831  3 Co 2.73-2.74
Th 0.7724 0.7724 0.8169  3 Co 2.73-2.74
Tl 0.0000 0.0000 0.5000  6 Th 3.49-3.50, 2 Tl 3.90
Co 0.5000 0.5000 0.0000  6 Th 2.73-2.74

Model ii:
Th2TlCo | GGA-PBE | optimized geometry

Values from the calculation:
- M_tot (μB per formula unit) = 0.00
- calculated density (Mg/m³) = 10.8
- SG = No. 160

a = 8.8838 Å, b = 8.8838 Å, c = 8.8838 Å
α = 25.15°, β = 25.15°, γ = 25.15°
Closest atoms and distances in Å follow each position.
Sites, in units of the cell vectors:
Th 0.0000 0.0000 0.0000  3 Co 2.76
Th 0.2114 0.2114 0.2114  3 Co 2.71
Tl 0.7729 0.7729 0.7729  6 Th 3.51-3.53, 6 Tl 3.87
Co 0.6039 0.6039 0.6039  6 Th 2.71-2.76

Model iii:
Th2TlCo | GGA-PBE | optimized geometry

Values from the calculation:
- M_tot (μB per formula unit) = 0.00
- calculated density (Mg/m³) = 12.1
- SG = No. 123

a = 3.3851 Å, b = 3.3851 Å, c = 8.6973 Å
α = 90.00°, β = 90.00°, γ = 90.00°
Closest atoms and distances in Å follow each position.
Sites, in units of the cell vectors:
Th 0.0000 0.0000 0.1992  4 Co 2.96
Th 0.0000 0.0000 0.8008  4 Co 2.96
Tl 0.5000 0.5000 0.5000  4 Tl 3.39, 8 Th 3.55
Co 0.5000 0.5000 0.0000  8 Th 2.96

Most stable: model i. Least stable: model iii.

Model i:
Y2ThCo | GGA-PBE | optimized geometry

Values from the calculation:
- M_tot (μB per formula unit) = 0.00
- calculated density (Mg/m³) = 6.9
- SG = No. 166

a = 10.5877 Å, b = 10.5877 Å, c = 10.5877 Å
α = 19.20°, β = 19.20°, γ = 19.20°
Closest atoms and distances in Å follow each position.
Sites, in units of the cell vectors:
Y 0.1119 0.1119 0.1119  3 Co 2.66
Y 0.8881 0.8881 0.8881  3 Co 2.66
Th 0.0000 0.0000 0.0000  2 Y 3.49, 6 Th 3.53
Co 0.5000 0.5000 0.5000  6 Y 2.66

Model ii:
Y2ThCo | GGA-PBE | optimized geometry

Values from the calculation:
- M_tot (μB per formula unit) = 0.54
- calculated density (Mg/m³) = 7.6
- SG = No. 123

a = 3.4326 Å, b = 3.4326 Å, c = 8.7442 Å
α = 90.00°, β = 90.00°, γ = 90.00°
Closest atoms and distances in Å follow each position.
Sites, in units of the cell vectors:
Y 0.0000 0.0000 0.1855  4 Co 2.92, 1 Y 3.24
Y 0.0000 0.0000 0.8145  4 Co 2.92, 1 Y 3.24
Th 0.5000 0.5000 0.5000  4 Th 3.43, 8 Y 3.67
Co 0.5000 0.5000 0.0000  8 Y 2.92

Model iii:
Y2ThCo | GGA-PBE | optimized geometry

Values from the calculation:
- M_tot (μB per formula unit) = 0.00
- calculated density (Mg/m³) = 7.3
- SG = No. 62

a = 6.9708 Å, b = 9.6802 Å, c = 6.3164 Å
α = 90.00°, β = 90.00°, γ = 90.00°
Closest atoms and distances in Å follow each position.
Sites, in units of the cell vectors:
Y 0.1685 0.0697 0.1763  2 Co 2.88-2.92
Y 0.1685 0.4303 0.1763  2 Co 2.88-2.92
Y 0.3315 0.5697 0.6763  2 Co 2.88-2.92
Y 0.3315 0.9303 0.6763  2 Co 2.88-2.92
Y 0.6685 0.0697 0.3237  2 Co 2.88-2.92
Y 0.6685 0.4303 0.3237  2 Co 2.88-2.92
Y 0.8315 0.5697 0.8237  2 Co 2.88-2.92
Y 0.8315 0.9303 0.8237  2 Co 2.88-2.92
Th 0.0551 0.2500 0.6643  2 Co 2.50-2.63
Th 0.4449 0.7500 0.1643  2 Co 2.50-2.63
Th 0.5551 0.2500 0.8357  2 Co 2.50-2.63
Th 0.9449 0.7500 0.3357  2 Co 2.50-2.63
Co 0.1312 0.7500 0.9739  2 Th 2.50-2.63
Co 0.3688 0.2500 0.4739  2 Th 2.50-2.63
Co 0.6312 0.7500 0.5261  2 Th 2.50-2.63
Co 0.8688 0.2500 0.0261  2 Th 2.50-2.63

Most stable: model iii. Least stable: model i.